# 1
Material: TmPSeS3
Method: DFT, PBE
State: relaxed

It has space group P-1 (No. 2), with a = 6.4339 Å, b = 6.7149 Å, c = 7.6559 Å, α = 88.33°, β = 87.31° and γ = 82.41°. The inequivalent atoms are Tm at (0.2068, 0.2010, 0.0568), P at (0.3121, 0.7619, 0.8172), Se at (0.1229, 0.5117, 0.7781), S at (0.0916, 0.0081, 0.7663), S at (0.3863, 0.7825, 0.0760) and S at (0.4256, 0.2550, 0.3376).

The value obtained for the raw total energy is -5.267 eV per atom. Its volume is 27.284 A^3/atom. The calculation puts the relative energy among the computed polymorphs at 0 meV per atom.

***

# 2
Material: TmPSe2S2
Method: DFT, PBE
State: relaxed

It has space group P-1 (No. 2), with a = 6.5544 Å, b = 6.8380 Å, c = 7.7688 Å, α = 88.07°, β = 87.61° and γ = 81.19°. The inequivalent atoms are Tm at (0.2089, 0.1996, 0.0574), P at (0.3182, 0.7605, 0.8186), Se at (0.0822, 0.0222, 0.7514), Se at (0.1294, 0.5176, 0.7887), S at (0.3910, 0.7893, 0.0730) and S at (0.4208, 0.2678, 0.3314).

The value obtained for the raw total energy is -5.105 eV per atom. Its volume is 28.638 A^3/atom. The calculation puts the relative energy among the computed polymorphs at 4 meV per atom.

***

# 3
Material: TmPSe2S2
Method: DFT, PBE
State: relaxed

It has space group P-1 (No. 2), with a = 6.5836 Å, b = 6.7177 Å, c = 7.7908 Å, α = 87.30°, β = 87.35° and γ = 80.50°. The inequivalent atoms are Tm at (0.2071, 0.2035, 0.0566), P at (0.3115, 0.7573, 0.8202), Se at (0.0779, 0.0277, 0.7530), Se at (0.4124, 0.2796, 0.3492), S at (0.1317, 0.5316, 0.8112) and S at (0.3945, 0.7869, 0.0701).

The value obtained for the raw total energy is -5.106 eV per atom. Its volume is 28.266 A^3/atom. The calculation puts the relative energy among the computed polymorphs at 4 meV per atom.